[1]
LaTbSm2Ho5: relaxed, PBE.

a b c (Å): 8.771 8.771 15.369
angles (deg): 90.00 90.00 90.00
Space group I4/mcm (No. 140)
One atom of each set of equivalent atoms:
La  0.000  0.000  0.250 [4 per cell]
Tb  0.000  0.500  0.250 [4 per cell]
Sm  0.116  0.384  0.000 [8 per cell]
Ho  0.000  0.000  0.000 [4 per cell]
Ho  0.208  0.292  0.365 [16 per cell]

Computed properties:
Size of the total moment in Bohr magnetons per cell: 0.0
VASP energy in eV per atom: -4.391

---

[2]
La2Tb2Sm2Ho: relaxed, PBE.

a b c (Å): 11.478 5.139 8.128
angles (deg): 90.00 98.19 90.00
Space group C2/m (No. 12)
One atom of each set of equivalent atoms:
La  0.142  0.000  0.425 [4 per cell]
Tb  0.070  0.500  0.718 [4 per cell]
Sm  0.215  0.500  0.139 [4 per cell]
Ho  0.000  0.000  0.000 [2 per cell]

Computed properties:
Size of the total moment in Bohr magnetons per cell: 0.0
VASP energy in eV per atom: -4.707

---

[3]
LaTb2SmHo2: relaxed, PBE.

a b c (Å): 6.634 17.876 3.394
angles (deg): 90.00 90.00 90.00
Space group Pnnm (No. 58)
One atom of each set of equivalent atoms:
La  0.000  0.000  0.000 [2 per cell]
Tb  0.222  0.350  0.500 [4 per cell]
Sm  0.000  0.500  0.000 [2 per cell]
Ho  0.225  0.184  0.000 [4 per cell]

Computed properties:
Size of the total moment in Bohr magnetons per cell: 0.0
VASP energy in eV per atom: -4.403

---

[4]
La2Tb2SmHo4: relaxed, PBE.

a b c (Å): 18.805 3.626 9.613
angles (deg): 90.00 115.74 90.00
Space group C2/m (No. 12)
One atom of each set of equivalent atoms:
La  0.166  0.000  0.000 [4 per cell]
Tb  0.147  0.500  0.662 [4 per cell]
Sm  0.000  0.500  0.000 [2 per cell]
Ho  0.020  0.000  0.337 [4 per cell]
Ho  0.186  0.500  0.338 [4 per cell]

Computed properties:
Size of the total moment in Bohr magnetons per cell: 0.0
VASP energy in eV per atom: -4.684

---

[5]
La5TbSmHo2: relaxed, PBE.

a b c (Å): 5.512 21.810 10.657
angles (deg): 90.00 90.00 90.00
Space group Cmcm (No. 63)
One atom of each set of equivalent atoms:
La  0.000  0.000  0.000 [4 per cell]
La  0.000  0.123  0.250 [4 per cell]
La  0.000  0.221  0.561 [8 per cell]
La  0.000  0.500  0.250 [4 per cell]
Tb  0.000  0.100  0.750 [4 per cell]
Sm  0.000  0.287  0.250 [4 per cell]
Ho  0.000  0.387  0.001 [8 per cell]

Computed properties:
Size of the total moment in Bohr magnetons per cell: 0.0
VASP energy in eV per atom: -4.667

---

[6]
La3TbSm6Ho2: relaxed, PBE.

a b c (Å): 6.297 10.917 12.066
angles (deg): 90.00 100.08 90.00
Space group C2/m (No. 12)
One atom of each set of equivalent atoms:
La  0.000  0.000  0.000 [2 per cell]
La  0.000  0.333  0.000 [4 per cell]
Tb  0.000  0.500  0.500 [2 per cell]
Sm  0.248  0.000  0.744 [4 per cell]
Sm  0.248  0.333  0.744 [8 per cell]
Ho  0.000  0.167  0.500 [4 per cell]

Computed properties:
Size of the total moment in Bohr magnetons per cell: 0.0
VASP energy in eV per atom: -4.719

---

[7]
La2TbSm2Ho2: relaxed, PBE.

a b c (Å): 11.447 5.128 8.127
angles (deg): 90.00 98.14 90.00
Space group C2/m (No. 12)
One atom of each set of equivalent atoms:
La  0.142  0.000  0.425 [4 per cell]
Tb  0.000  0.000  0.000 [2 per cell]
Sm  0.215  0.500  0.139 [4 per cell]
Ho  0.070  0.500  0.717 [4 per cell]

Computed properties:
Size of the total moment in Bohr magnetons per cell: 0.0
VASP energy in eV per atom: -4.699

---

[8]
La4TbSm2Ho: relaxed, PBE.

a b c (Å): 5.219 5.259 10.125
angles (deg): 90.00 90.05 90.00
Space group P2/m (No. 10)
One atom of each set of equivalent atoms:
La  0.000  0.000  0.249 [2 per cell]
La  0.500  0.500  0.250 [2 per cell]
Tb  0.000  0.500  0.500 [1 per cell]
Sm  0.000  0.500  0.000 [1 per cell]
Sm  0.500  0.000  0.500 [1 per cell]
Ho  0.500  0.000  0.000 [1 per cell]

Computed properties:
Size of the total moment in Bohr magnetons per cell: 0.0
VASP energy in eV per atom: -4.777

---

[9]
La3TbSm2Ho6: relaxed, PBE.

a b c (Å): 6.253 10.831 11.833
angles (deg): 90.00 100.12 90.00
Space group C2/m (No. 12)
One atom of each set of equivalent atoms:
La  0.000  0.000  0.000 [2 per cell]
La  0.000  0.333  0.000 [4 per cell]
Tb  0.000  0.500  0.500 [2 per cell]
Sm  0.000  0.167  0.500 [4 per cell]
Ho  0.248  0.333  0.746 [8 per cell]
Ho  0.249  0.000  0.746 [4 per cell]

Computed properties:
Size of the total moment in Bohr magnetons per cell: 0.0
VASP energy in eV per atom: -4.676

---

[10]
LaTb2SmHo5: relaxed, PBE.

a b c (Å): 8.827 8.827 15.135
angles (deg): 90.00 90.00 90.00
Space group I4/mcm (No. 140)
One atom of each set of equivalent atoms:
La  0.000  0.000  0.250 [4 per cell]
Tb  0.115  0.385  0.000 [8 per cell]
Sm  0.000  0.500  0.250 [4 per cell]
Ho  0.000  0.000  0.000 [4 per cell]
Ho  0.205  0.295  0.368 [16 per cell]

Computed properties:
Size of the total moment in Bohr magnetons per cell: 0.0
VASP energy in eV per atom: -4.373

---

[11]
La5TbSm2Ho: relaxed, PBE.

a b c (Å): 8.793 8.793 16.553
angles (deg): 90.00 90.00 90.00
Space group I4/mcm (No. 140)
One atom of each set of equivalent atoms:
La  0.000  0.000  0.000 [4 per cell]
La  0.210  0.290  0.142 [16 per cell]
Tb  0.000  0.500  0.250 [4 per cell]
Sm  0.120  0.380  0.500 [8 per cell]
Ho  0.000  0.000  0.250 [4 per cell]

Computed properties:
Size of the total moment in Bohr magnetons per cell: 0.0
VASP energy in eV per atom: -4.533

---

[12]
La4Tb2Sm2Ho: relaxed, PBE.

a b c (Å): 15.526 5.183 8.147
angles (deg): 90.00 108.63 90.00
Space group C2/m (No. 12)
One atom of each set of equivalent atoms:
La  0.054  0.000  0.331 [4 per cell]
La  0.223  0.500  0.333 [4 per cell]
Tb  0.112  0.500  0.671 [4 per cell]
Sm  0.167  0.000  0.000 [4 per cell]
Ho  0.000  0.500  0.000 [2 per cell]

Computed properties:
Size of the total moment in Bohr magnetons per cell: 0.0
VASP energy in eV per atom: -4.751

---

[13]
LaTbSmHo3: relaxed, PBE.

a b c (Å): 19.867 5.635 7.082
angles (deg): 90.00 90.46 90.00
Space group C2/m (No. 12)
One atom of each set of equivalent atoms:
La  0.145  0.000  0.034 [4 per cell]
Tb  0.150  0.000  0.460 [4 per cell]
Sm  0.054  0.500  0.267 [4 per cell]
Ho  0.024  0.000  0.738 [4 per cell]
Ho  0.164  0.500  0.732 [4 per cell]
Ho  0.221  0.500  0.244 [4 per cell]

Computed properties:
Size of the total moment in Bohr magnetons per cell: 0.0
VASP energy in eV per atom: -4.472

---

[14]
La2TbSm3Ho6: relaxed, PBE.

a b c (Å): 6.234 10.791 11.820
angles (deg): 90.00 100.08 90.00
Space group C2/m (No. 12)
One atom of each set of equivalent atoms:
La  0.000  0.166  0.000 [4 per cell]
Tb  0.000  0.500  0.000 [2 per cell]
Sm  0.000  0.000  0.500 [2 per cell]
Sm  0.000  0.333  0.500 [4 per cell]
Ho  0.248  0.500  0.748 [4 per cell]
Ho  0.249  0.166  0.748 [8 per cell]

Computed properties:
Size of the total moment in Bohr magnetons per cell: 0.0
VASP energy in eV per atom: -4.659

---

[15]
La2TbSmHo5: relaxed, PBE.

a b c (Å): 8.626 8.626 15.853
angles (deg): 90.00 90.00 90.00
Space group I4/mcm (No. 140)
One atom of each set of equivalent atoms:
La  0.118  0.382  0.000 [8 per cell]
Tb  0.000  0.000  0.250 [4 per cell]
Sm  0.000  0.500  0.250 [4 per cell]
Ho  0.000  0.000  0.000 [4 per cell]
Ho  0.215  0.285  0.358 [16 per cell]

Computed properties:
Size of the total moment in Bohr magnetons per cell: 0.0
VASP energy in eV per atom: -4.425

---

[16]
LaTbSm3Ho: relaxed, PBE.

a b c (Å): 20.413 5.772 6.908
angles (deg): 90.00 90.97 90.00
Space group C2/m (No. 12)
One atom of each set of equivalent atoms:
La  0.145  0.000  0.026 [4 per cell]
Tb  0.145  0.000  0.469 [4 per cell]
Sm  0.020  0.000  0.744 [4 per cell]
Sm  0.160  0.500  0.737 [4 per cell]
Sm  0.220  0.500  0.254 [4 per cell]
Ho  0.056  0.500  0.267 [4 per cell]

Computed properties:
Size of the total moment in Bohr magnetons per cell: 0.0
VASP energy in eV per atom: -4.519

---

[17]
LaTb4Sm2Ho: relaxed, PBE.

a b c (Å): 12.436 7.209 12.436
angles (deg): 90.00 109.31 90.00
Space group C2/m (No. 12)
One atom of each set of equivalent atoms:
La  0.250  0.250  0.000 [4 per cell]
Tb  0.001  0.250  0.251 [8 per cell]
Tb  0.249  0.000  0.747 [4 per cell]
Tb  0.249  0.500  0.748 [4 per cell]
Sm  0.000  0.500  0.000 [2 per cell]
Sm  0.000  0.500  0.500 [2 per cell]
Sm  0.250  0.250  0.500 [4 per cell]
Ho  0.000  0.000  0.000 [2 per cell]
Ho  0.000  0.000  0.500 [2 per cell]

Computed properties:
Size of the total moment in Bohr magnetons per cell: 0.0
VASP energy in eV per atom: -4.667

---

[18]
La3Sm2HoTe6: relaxed, PBE.

a b c (Å): 19.588 4.476 9.031
angles (deg): 90.00 103.43 90.00
Space group C2/m (No. 12)
One atom of each set of equivalent atoms:
La  0.000  0.000  0.000 [2 per cell]
La  0.169  0.500  0.334 [4 per cell]
Sm  0.168  0.500  0.835 [4 per cell]
Ho  0.000  0.000  0.500 [2 per cell]
Te  0.001  0.500  0.738 [4 per cell]
Te  0.161  0.000  0.587 [4 per cell]
Te  0.168  0.000  0.078 [4 per cell]

Computed properties:
Size of the total moment in Bohr magnetons per cell: 0.0
Uncorrected formation energy in eV/atom: -1.471

---

[19]
La3SmHo3Te8: relaxed, PBE.

a b c (Å): 8.8428 8.8428 21.9634
angles (deg): 90.00 90.00 120.00
Space group R-3m (No. 166, hexagonal axes)
One atom of each set of equivalent atoms:
La  0.0000  0.5000  0.0000 [9 per cell]
Sm  0.0000  0.0000  0.5000 [3 per cell]
Ho  0.0000  0.5000  0.5000 [9 per cell]
Te  0.0000  0.0000  0.2442 [6 per cell]
Te  0.0141  0.5071  0.7524 [18 per cell]

Computed properties:
Size of the total moment in Bohr magnetons per cell: 0.0
Uncorrected formation energy in eV/atom: -1.471